Below is a relaxed structure of VMo3O, with properties calculated at the GGA+U level. Values from VASP.

Calculated values
Uncorrected energy = -21.09 eV/cell
Calculated volume = 23.2 A^3/atom
Crystal system = cubic
E above lowest polymorph = 1573 meV/atom
Space-group type = No. 221
Size of the total moment = 5.99 μB per formula unit

Geometry as Quantum ESPRESSO input:
```
&SYSTEM
  ibrav = 0, nat = 5, ntyp = 3
/
ATOMIC_SPECIES
Mo 95.94 Mo.upf
O 16.00 O.upf
V 50.94 V.upf
CELL_PARAMETERS angstrom
-4.749 -1.084 0.186
1.011 -3.980 2.626
-0.432 2.597 4.102
ATOMIC_POSITIONS crystal
Mo 0.000 0.000 0.500
Mo 0.000 0.500 0.000
Mo 0.500 0.000 0.000
O 0.500 0.500 0.500
V 0.000 0.000 0.000
```